This record from Alexandria via LeMat-Bulk describes a geometry-optimized Pr2Tl3CuSe6 structure. The functional is PBE-GGA.

Computed properties:
Density (g cm⁻³): 6.81
Energy relative to the elements, uncorrected (meV per atom): -873
Crystal system: monoclinic
DFT total energy (eV/atom): -4.345

Unit cell a=7.461 b=12.485 c=8.073 alpha=90.00 beta=111.67 gamma=90.00
Space group C2/m (No. 12)
Inequivalent atoms, fractional coordinates:
Pr1 0.000 0.161 0.000 [4 per cell]
Tl1 0.000 0.000 0.500 [2 per cell]
Tl2 0.000 0.319 0.500 [4 per cell]
Cu1 0.000 0.500 0.000 [2 per cell]
Se1 0.212 0.355 0.189 [8 per cell]
Se2 0.241 0.000 0.253 [4 per cell]

***

This record from Alexandria via LeMat-Bulk describes a geometry-optimized PrTl2Cu2Se4 structure. The functional is PBE-GGA.

Computed properties:
Density (g cm⁻³): 6.93
Energy relative to the elements, uncorrected (meV per atom): -725
Crystal system: monoclinic
DFT total energy (eV/atom): -4.241

Unit cell a=15.270 b=4.069 c=8.071 alpha=90.00 beta=108.33 gamma=90.00
Space group C2/m (No. 12)
Inequivalent atoms, fractional coordinates:
Pr1 0.000 0.000 0.000 [2 per cell]
Tl1 0.133 0.000 0.561 [4 per cell]
Cu1 0.184 0.500 0.991 [4 per cell]
Se1 0.031 0.500 0.758 [4 per cell]
Se2 0.206 0.000 0.178 [4 per cell]

***

This record from Alexandria via LeMat-Bulk describes a geometry-optimized PrCu3Si2 structure. The functional is PBE-GGA.

Computed properties:
Density (g cm⁻³): 6.20
Energy relative to the elements, uncorrected (meV per atom): -322
Crystal system: monoclinic
DFT total energy (eV/atom): -4.974

Unit cell a=15.735 b=4.017 c=6.581 alpha=90.00 beta=92.03 gamma=90.00
Space group C2/m (No. 12)
Inequivalent atoms, fractional coordinates:
Pr1 0.101 0.000 0.238 [4 per cell]
Cu1 0.102 0.000 0.749 [4 per cell]
Cu2 0.173 0.500 0.574 [4 per cell]
Cu3 0.203 0.500 0.938 [4 per cell]
Si1 0.048 0.500 0.861 [4 per cell]
Si2 0.248 0.000 0.720 [4 per cell]

***

This record from Alexandria via LeMat-Bulk describes a geometry-optimized PrCu4Si2 structure. The functional is PBE-GGA.

Computed properties:
Density (g cm⁻³): 6.84
Energy relative to the elements, uncorrected (meV per atom): -344
Crystal system: orthorhombic
DFT total energy (eV/atom): -4.917

Unit cell a=16.057 b=4.040 c=6.755 alpha=90.00 beta=90.00 gamma=90.00
Space group Pnma (No. 62)
Inequivalent atoms, fractional coordinates:
Pr1 0.113 0.250 0.000 [4 per cell]
Cu1 0.041 0.750 0.318 [4 per cell]
Cu2 0.096 0.250 0.503 [4 per cell]
Cu3 0.188 0.750 0.669 [4 per cell]
Cu4 0.200 0.750 0.303 [4 per cell]
Si1 0.037 0.750 0.702 [4 per cell]
Si2 0.242 0.250 0.483 [4 per cell]